1.
Density functional theory data (PBE) for ScTe2OsN after structural relaxation.

Results
The energy above the most stable polymorph in this dataset comes out at 0 meV per atom. The space-group type is P4/mmm, No. 123. As for the density of states at the Fermi level: 2.48 states/eV/cell. The value obtained for the formation energy (no corrections) is -0.1 eV per formula unit.

a b c (Å): 5.465 5.465 3.710
angles (deg): 90.00 90.00 90.00
Fractional positions:
1 Te 0.000 0.500 0.000
2 Te 0.500 0.000 0.000
3 Sc 0.500 0.500 0.500
4 Os 0.000 0.000 0.000
5 N 0.000 0.000 0.500

2.
Density functional theory data (PBE) for ScTeOsN2 after structural relaxation.

Results
The energy above the most stable polymorph in this dataset comes out at 0 meV per atom. The space-group type is P4/mmm, No. 123. As for the density of states at the Fermi level: 3.71 states/eV/cell. The value obtained for the formation energy (no corrections) is 1.6 eV per formula unit.

a b c (Å): 3.911 3.911 5.630
angles (deg): 90.00 90.00 90.00
Fractional positions:
1 Te 0.000 0.000 0.500
2 Os 0.000 0.000 0.000
3 N 0.500 0.000 0.000
4 N 0.000 0.500 0.000
5 Sc 0.500 0.500 0.500

3.
Density functional theory data (PBE) for ScTeOsN2 after structural relaxation.

Results
The energy above the most stable polymorph in this dataset comes out at 1104 meV per atom. The space-group type is P4/mmm, No. 123. As for the density of states at the Fermi level: 5.08 states/eV/cell. The value obtained for the formation energy (no corrections) is 7.1 eV per formula unit.

a b c (Å): 4.027 4.027 6.042
angles (deg): 90.00 90.00 90.00
Each line ends with the local moment (μB).
Fractional positions:
1 N 0.500 0.000 0.000  0.38
2 N 0.000 0.500 0.000  0.38
3 Te 0.000 0.000 0.500  0.07
4 Os 0.500 0.500 0.500  2.16
5 Sc 0.000 0.000 0.000  0.04

4.
Density functional theory data (PBE) for ScTlOsN2 after structural relaxation.

Results
The energy above the most stable polymorph in this dataset comes out at 0 meV per atom. The space-group type is P4/mmm, No. 123. As for the density of states at the Fermi level: 4.64 states/eV/cell. The value obtained for the formation energy (no corrections) is 7.0 eV per formula unit.

a b c (Å): 4.114 5.460 4.114
angles (deg): 90.00 90.00 90.00
Each line ends with the local moment (μB).
Fractional positions:
1 Tl 0.500 0.500 0.500  -0.04
2 Os 0.000 0.500 0.000  1.64
3 Sc 0.000 0.000 0.000  -0.03
4 N 0.500 0.000 0.000  0.58
5 N 0.000 0.000 0.500  0.75